Er3Sc2Ru2 | GGA-PBE | relaxed

The structure in POSCAR format:
```
Er3Sc2Ru2
1.0
5.800 -1.866 0.000
5.800 1.866 0.000
-3.230 0.000 7.547
Er Sc Ru
3 2 2
Cartesian
0.000 0.000 0.000 Er
-0.023 0.000 3.275 Er
8.394 0.000 4.272 Er
3.257 0.000 1.339 Sc
5.114 0.000 6.208 Sc
1.118 0.000 5.899 Ru
7.252 0.000 1.647 Ru
```

Values from the calculation:
**Energy of formation**: -0.357 eV per atom
**Crystal system**: monoclinic
**Total DFT energy (no corrections)**: -6.771 eV/atom